# LaPRu2

A relaxed LaPRu2 crystal (PBE, Alexandria via LeMat-Bulk).

a b c (Å): 4.1019 4.1019 5.4200
angles (deg): 99.98 99.98 58.56
Closest atoms and distances in Å follow each position.
Positions (direct):
1 La 0.0000 0.0000 0.0000  2 Ru 2.68
2 P 0.5000 0.5000 0.5000  6 Ru 2.43-2.44
3 Ru 0.1909 0.1909 0.6208  3 P 2.43-2.44, 2 Ru 2.63, 1 La 2.68
4 Ru 0.8091 0.8091 0.3792  3 P 2.43-2.44, 2 Ru 2.63, 1 La 2.68

Values from the calculation:
- E_tot: -30.79 eV/cell
- Size of the total moment: 0.0 μB per cell
- Crystal system: monoclinic